# 1
First-principles (PBE-GGA) data for a relaxed structure of LiSc3Br8, as listed in Alexandria via LeMat-Bulk.

Properties
crystal system	monoclinic

```
data_LiSc3Br8
_chemical_formula_sum 'Li2 Sc6 Br16'
_cell_length_a 13.367
_cell_length_b 7.705
_cell_length_c 8.410
_cell_angle_alpha 90.00
_cell_angle_beta 122.82
_cell_angle_gamma 90.00
_space_group_name_H-M_alt 'C 1 2/m 1'
_space_group_IT_number 12
_space_group_name_Hall '-C 2y'
loop_
_atom_site_label
_atom_site_type_symbol
_atom_site_fract_x
_atom_site_fract_y
_atom_site_fract_z
Li1 Li 0.000 0.000 0.000
Sc1 Sc 0.000 0.500 0.000
Sc2 Sc 0.250 0.250 0.000
Br1 Br 0.009 0.251 0.779
Br2 Br 0.243 0.000 0.221
Br3 Br 0.245 0.500 0.231
```

---

# 2
First-principles (PBE-GGA) data for a relaxed structure of Li3ScBr6, as listed in Alexandria via LeMat-Bulk.

Properties
crystal system	triclinic

```
data_Li3ScBr6
_chemical_formula_sum 'Li3 Sc1 Br6'
_cell_length_a 7.254
_cell_length_b 7.377
_cell_length_c 7.513
_cell_angle_alpha 60.69
_cell_angle_beta 89.00
_cell_angle_gamma 62.59
_space_group_name_H-M_alt 'P -1'
_space_group_IT_number 2
_space_group_name_Hall '-P 1'
loop_
_atom_site_label
_atom_site_type_symbol
_atom_site_fract_x
_atom_site_fract_y
_atom_site_fract_z
Li1 Li 0.000 0.000 0.000
Li2 Li 0.000 0.000 0.500
Li3 Li 0.500 0.500 0.000
Sc1 Sc 0.000 0.500 0.500
Br1 Br 0.152 0.550 0.783
Br2 Br 0.262 0.016 0.737
Br3 Br 0.286 0.564 0.288
```

---

# 3
First-principles (PBE-GGA) data for a relaxed structure of LiScBr2, as listed in Alexandria via LeMat-Bulk.

Properties
crystal system	monoclinic

```
data_LiScBr2
_chemical_formula_sum 'Li1 Sc1 Br2'
_cell_length_a 3.713
_cell_length_b 3.476
_cell_length_c 7.926
_cell_angle_alpha 90.00
_cell_angle_beta 102.89
_cell_angle_gamma 90.00
_space_group_name_H-M_alt 'P 1 2/m 1'
_space_group_IT_number 10
_space_group_name_Hall '-P 2y'
loop_
_atom_site_label
_atom_site_type_symbol
_atom_site_fract_x
_atom_site_fract_y
_atom_site_fract_z
Li1 Li 0.000 0.000 0.000
Sc1 Sc 0.500 0.000 0.500
Br1 Br 0.390 0.500 0.214
```

---

| no. | formation energy without anion corrections (eV/f.u.) |
| --- | --- |
| 1 | -19.29 |
| 2 | -15.33 |
| 3 | -3.84 |